Entry from Alexandria: crystalline LiAc2Gd at its relaxed geometry (GGA-PBE).

Cell: 3.9209 3.9209 9.3873 Å, 90.00 90.00 90.00°
With the nearest neighbours (Å) after each atom.
Space group P4/mmm (No. 123)
One atom of each set of equivalent atoms:
Li: 0.0000 0.0000 0.0000 [1 per cell]  8 Ac 3.51, 4 Li 3.92
Ac: 0.5000 0.5000 0.2289 [2 per cell]  4 Li 3.51, 4 Gd 3.76, 4 Ac 3.92
Gd: 0.0000 0.0000 0.5000 [1 per cell]  8 Ac 3.76, 4 Gd 3.92

Properties
energy of formation: 0.24 eV per formula unit
magnetic moment: 7.94 Bohr magnetons per cell

***

Entry from Alexandria: crystalline Hf2VCuH at its relaxed geometry (GGA-PBE).

Cell: 4.4641 4.4641 3.5965 Å, 90.00 90.00 90.00°
With the nearest neighbours (Å) after each atom.
Space group P4/mmm (No. 123)
One atom of each set of equivalent atoms:
Hf: 0.0000 0.5000 0.0000 [2 per cell]  2 H 2.23
V: 0.0000 0.0000 0.5000 [1 per cell]  2 H 1.80
Cu: 0.5000 0.5000 0.5000 [1 per cell]  8 Hf 2.87, 4 V 3.16
H: 0.0000 0.0000 0.0000 [1 per cell]  2 V 1.80

Properties
final energy: -7.36 eV/atom
magnetic moment: 1.12 Bohr magnetons per cell

***

Entry from Alexandria: crystalline KYAs2 at its relaxed geometry (GGA-PBE).

Cell: 7.3699 7.3699 7.3699 Å, 90.00 90.00 90.00°
With the nearest neighbours (Å) after each atom.
Space group Fm-3m (No. 225)
One atom of each set of equivalent atoms:
K: 0.0000 0.0000 0.0000 [4 per cell]  8 As 3.19
Y: 0.0000 0.0000 0.5000 [4 per cell]  8 As 3.19
As: 0.2500 0.2500 0.2500 [8 per cell]  4 K 3.19, 4 Y 3.19

Properties
energy of formation: -1.84 eV per formula unit
magnetic moment: 0.00 Bohr magnetons per cell

***

Entry from Alexandria: crystalline PmNd2In3 at its relaxed geometry (GGA-PBE).

Cell: 3.7453 29.7123 6.6698 Å, 90.00 90.00 90.00°
With the nearest neighbours (Å) after each atom.
Space group Cmcm (No. 63)
One atom of each set of equivalent atoms:
Pm: 0.0000 0.1700 0.2500 [4 per cell]  4 In 3.22-3.28
Nd: 0.0000 0.3490 0.2500 [4 per cell]  6 In 3.29-3.31
Nd: 0.0000 0.4941 0.7500 [4 per cell]  8 In 3.31-3.47, 2 Nd 3.35
In: 0.0000 0.0765 0.5111 [8 per cell]  2 In 3.19-3.48, 1 Pm 3.28, 6 Nd 3.31-3.47
In: 0.0000 0.2419 0.7500 [4 per cell]  2 Pm 3.22, 2 Nd 3.29

Properties
energy of formation: -1.88 eV per formula unit
magnetic moment: 0.00 Bohr magnetons per cell

***

What is the formula in the third record?
KYAs2